Material: ZrCrIO2
Method: DFT, GGA+U
State: optimized geometry

Cell lengths 4.0602, 4.0602, 5.1702 Å; angles 90.00, 90.00, 90.00 degrees
Space group P4/mmm (No. 123)
Unique sites:
1 Zr 0.0000 0.0000 0.0000 (multiplicity 1)
2 Cr 0.5000 0.5000 0.5000 (multiplicity 1)
3 I 0.5000 0.5000 0.0000 (multiplicity 1)
4 O 0.0000 0.5000 0.5000 (multiplicity 2)

## Properties
**Distance to the lowest polymorph of the same formula**: 101.3 kJ/mol of atoms
**Density of states at the Fermi level**: 0.58 states/eV/atom
**Raw total energy**: -5.948 eV/atom
**ρ**: 5.886 Mg/m³